(1)
Computed, not measured: a geometry-optimized GdThTi2 structure at the PBE level of DFT.

Unit cell a=3.772 b=3.772 c=6.895 alpha=90.00 beta=90.00 gamma=90.00
Element x y z (fractional)
1 Gd 0.000 0.000 0.000
2 Th 0.000 0.000 0.500
3 Ti 0.500 0.500 0.293
4 Ti 0.500 0.500 0.707

Values from the calculation:
- ΔE_f: 0.182 eV per atom

---

(2)
Computed, not measured: a geometry-optimized AgAs2 structure at the PBE level of DFT.

Unit cell a=5.424 b=5.424 c=5.424 alpha=105.20 beta=105.20 gamma=118.41
Element x y z (fractional)
1 Ag 0.250 0.250 0.000
2 Ag 0.750 0.750 0.000
3 As 0.131 0.631 0.762
4 As 0.369 0.131 0.500
5 As 0.631 0.869 0.500
6 As 0.869 0.369 0.238

Values from the calculation:
- ΔE_f: 0.277 eV per atom

---

(3)
Computed, not measured: a geometry-optimized NbCoTc2 structure at the PBE level of DFT.

Unit cell a=4.368 b=4.368 c=4.368 alpha=60.00 beta=60.00 gamma=60.00
Element x y z (fractional)
1 Nb 0.000 0.000 0.000
2 Co 0.500 0.500 0.500
3 Tc 0.250 0.250 0.250
4 Tc 0.750 0.750 0.750

Values from the calculation:
- Excess energy over the best structure of this formula in the dataset: 0.1107 eV/atom
- ΔE_f: 0.097 eV per atom

---

(4)
Computed, not measured: a geometry-optimized Sc3CdN structure at the PBE level of DFT.

Unit cell a=4.478 b=4.478 c=4.478 alpha=90.00 beta=90.00 gamma=90.00
Element x y z (fractional)
1 Sc 0.000 0.000 0.500
2 Sc 0.000 0.500 0.000
3 Sc 0.500 0.000 0.000
4 Cd 0.500 0.500 0.500
5 N 0.000 0.000 0.000

Values from the calculation:
- Energy relative to the elements, uncorrected: -0.9897 eV/atom

---

(5)
Computed, not measured: a geometry-optimized MnTcMo2 structure at the PBE level of DFT.

Unit cell a=4.335 b=4.335 c=4.335 alpha=60.00 beta=60.00 gamma=60.00
Element x y z (fractional)
1 Mn 0.000 0.000 0.000
2 Tc 0.500 0.500 0.500
3 Mo 0.250 0.250 0.250
4 Mo 0.750 0.750 0.750

Values from the calculation:
- Excess energy over the best structure of this formula in the dataset: 0.0843 eV/atom
- ΔE_f: 0.148 eV per atom

---

(6)
Computed, not measured: a geometry-optimized LaPm6NdTm2 structure at the PBE level of DFT.

Unit cell a=8.923 b=8.923 c=9.717 alpha=93.74 beta=93.74 gamma=116.58
Element x y z (fractional)
1 La 0.094 0.906 0.750
2 La 0.906 0.094 0.250
3 Pm 0.016 0.796 0.381
4 Pm 0.061 0.517 0.179
5 Pm 0.204 0.984 0.119
6 Pm 0.259 0.607 0.557
7 Pm 0.393 0.741 0.943
8 Pm 0.483 0.939 0.321
9 Pm 0.517 0.061 0.679
10 Pm 0.607 0.259 0.057
11 Pm 0.741 0.393 0.443
12 Pm 0.796 0.016 0.881
13 Pm 0.939 0.483 0.821
14 Pm 0.984 0.204 0.619
15 Nd 0.465 0.535 0.250
16 Nd 0.535 0.465 0.750
17 Tm 0.206 0.302 0.950
18 Tm 0.302 0.206 0.450
19 Tm 0.698 0.794 0.550
20 Tm 0.794 0.698 0.050

Values from the calculation:
- ΔE_f: 0.113 eV per atom

---

(7)
Computed, not measured: a geometry-optimized Pm2CdAs4Pt3 structure at the PBE level of DFT.

Unit cell a=4.474 b=4.474 c=10.303 alpha=90.00 beta=90.00 gamma=90.00
Element x y z (fractional)
1 Pm 0.000 0.500 0.235
2 Pm 0.500 0.000 0.765
3 Cd 0.000 0.000 0.500
4 As 0.000 0.000 0.000
5 As 0.000 0.500 0.643
6 As 0.500 0.000 0.357
7 As 0.500 0.500 0.000
8 Pt 0.000 0.500 0.880
9 Pt 0.500 0.000 0.120
10 Pt 0.500 0.500 0.500

Values from the calculation:
- ΔE_f: -0.728 eV per atom

---

(8)
Computed, not measured: a geometry-optimized BC2 structure at the PBE level of DFT.

Unit cell a=3.585 b=4.686 c=5.339 alpha=67.25 beta=88.37 gamma=68.37
Element x y z (fractional)
1 B 0.000 0.000 0.000
2 B 0.071 0.381 0.941
3 B 0.345 0.343 0.665
4 B 0.678 0.683 0.340
5 C 0.005 0.020 0.505
6 C 0.096 0.335 0.417
7 C 0.350 0.353 0.184
8 C 0.404 0.695 0.603
9 C 0.431 0.673 0.086
10 C 0.650 0.698 0.836
11 C 0.757 0.045 0.257
12 C 0.759 0.003 0.745

Values from the calculation:
- Excess energy over the best structure of this formula in the dataset: 0.0716 eV/atom
- ΔE_f: 0.311 eV per atom

---

(9)
Computed, not measured: a geometry-optimized PmPr2TlHg4 structure at the PBE level of DFT.

Unit cell a=9.557 b=9.557 c=9.557 alpha=32.39 beta=32.39 gamma=32.39
Element x y z (fractional)
1 Pm 0.000 0.000 0.000
2 Pr 0.241 0.241 0.241
3 Pr 0.759 0.759 0.759
4 Tl 0.500 0.500 0.500
5 Hg 0.119 0.119 0.119
6 Hg 0.367 0.367 0.367
7 Hg 0.633 0.633 0.633
8 Hg 0.881 0.881 0.881

Values from the calculation:
- ΔE_f: -0.419 eV per atom

---

(10)
Computed, not measured: a geometry-optimized NaErTl2Br6 structure at the PBE level of DFT.

Unit cell a=7.665 b=8.108 c=13.361 alpha=90.00 beta=124.25 gamma=90.00
Element x y z (fractional)
1 Na 0.000 0.000 0.000
2 Na 0.000 0.500 0.500
3 Er 0.500 0.000 0.500
4 Er 0.500 0.500 0.000
5 Tl 0.220 0.077 0.746
6 Tl 0.220 0.423 0.246
7 Tl 0.780 0.577 0.754
8 Tl 0.780 0.923 0.254
9 Br 0.156 0.188 0.452
10 Br 0.156 0.312 0.952
11 Br 0.264 0.712 0.448
12 Br 0.264 0.788 0.948
13 Br 0.361 0.025 0.258
14 Br 0.361 0.475 0.758
15 Br 0.639 0.525 0.242
16 Br 0.639 0.975 0.742
17 Br 0.736 0.212 0.052
18 Br 0.736 0.288 0.552
19 Br 0.844 0.688 0.048
20 Br 0.844 0.812 0.548

Values from the calculation:
- Energy relative to the elements, uncorrected: -1.4224 eV/atom

---

(11)
Computed, not measured: a geometry-optimized Sc2SiH2 structure at the PBE level of DFT.

Unit cell a=4.582 b=4.582 c=4.582 alpha=121.82 beta=121.82 gamma=86.88
Element x y z (fractional)
1 Sc 0.250 0.750 0.500
2 Sc 0.750 0.250 0.500
3 Si 0.000 0.000 0.000
4 H 0.280 0.280 0.000
5 H 0.720 0.720 0.000

Values from the calculation:
- Excess energy over the best structure of this formula in the dataset: 0.0000 eV/atom

---

(12)
Computed, not measured: a geometry-optimized PbN2F structure at the PBE level of DFT.

Unit cell a=3.919 b=3.919 c=4.765 alpha=101.20 beta=101.20 gamma=58.80
Element x y z (fractional)
1 Pb 0.000 0.000 0.000
2 N 0.355 0.355 0.153
3 N 0.933 0.933 0.494
4 F 0.641 0.641 0.795

Values from the calculation:
- Excess energy over the best structure of this formula in the dataset: 0.0346 eV/atom
- Energy relative to the elements, uncorrected: 1.1793 eV/atom